(1)
# Ga2Cu2Ge, relaxed, DFT PBE
data_Ga2Cu2Ge
_chemical_formula_sum 'Ga2 Cu2 Ge1'
_cell_length_a 3.613
_cell_length_b 3.613
_cell_length_c 6.708
_cell_angle_alpha 74.38
_cell_angle_beta 74.38
_cell_angle_gamma 90.00
_symmetry_space_group_name_H-M 'P 1'
_symmetry_Int_Tables_number 1
loop_
_symmetry_equiv_pos_as_xyz
'x,y,z'
loop_
_atom_site_label
_atom_site_type_symbol
_atom_site_fract_x
_atom_site_fract_y
_atom_site_fract_z
Ga1 Ga 0.605 0.605 0.790
Ga2 Ga 0.395 0.395 0.210
Cu1 Cu 0.250 0.750 0.500
Cu2 Cu 0.750 0.250 0.500
Ge1 Ge 0.000 0.000 0.000
# Energy above the most stable polymorph in this dataset, eV per atom: 0.0513
# Energy of formation, eV per atom: 0.13
# Total magnetic moment, μB/f.u.: 0.00

(2)
# CsAcPmI6, relaxed, DFT PBE
data_CsAcPmI6
_chemical_formula_sum 'Cs2 Ac2 Pm2 I12'
_cell_length_a 11.951
_cell_length_b 10.314
_cell_length_c 11.500
_cell_angle_alpha 116.64
_cell_angle_beta 121.30
_cell_angle_gamma 90.00
_symmetry_space_group_name_H-M 'P 1'
_symmetry_Int_Tables_number 1
loop_
_symmetry_equiv_pos_as_xyz
'x,y,z'
loop_
_atom_site_label
_atom_site_type_symbol
_atom_site_fract_x
_atom_site_fract_y
_atom_site_fract_z
Cs1 Cs 0.140 0.390 0.281
Cs2 Cs 0.860 0.610 0.719
I1 I 0.612 0.919 0.765
I2 I 0.848 0.654 0.235
I3 I 0.612 0.346 0.765
I4 I 0.375 0.625 0.750
I5 I 0.791 0.041 0.582
I6 I 0.152 0.919 0.765
I7 I 0.152 0.346 0.765
I8 I 0.625 0.375 0.250
I9 I 0.848 0.081 0.235
I10 I 0.209 0.959 0.418
I11 I 0.388 0.081 0.235
I12 I 0.388 0.654 0.235
Pm1 Pm 0.000 0.000 0.500
Pm2 Pm 0.500 0.000 0.500
Ac1 Ac 0.500 0.500 0.000
Ac2 Ac 0.500 0.000 0.000
# E_form (uncorrected), meV per atom: -1325
# Total magnetic moment, μB/f.u.: 0.34